[1]
DFT (PBE-GGA) results for a geometry-optimized Zr2CdSe2 structure.

Cell and atoms, written as POSCAR:
```
Zr2CdSe2
1.0
7.833 0.000 0.000
0.000 7.833 0.000
0.000 0.000 3.363
Se Zr Cd
4 4 2
direct
0.361 0.861 0.000 Se
0.861 0.639 0.000 Se
0.639 0.139 0.000 Se
0.139 0.361 0.000 Se
0.153 0.653 0.500 Zr
0.653 0.847 0.500 Zr
0.847 0.347 0.500 Zr
0.347 0.153 0.500 Zr
0.000 0.000 0.000 Cd
0.500 0.500 0.000 Cd
```

Properties
E_form (uncorrected): -693.2 meV/atom
space group: P4/mbm



[2]
DFT (PBE-GGA) results for a geometry-optimized ZrCdSe structure.

Cell and atoms, written as POSCAR:
```
ZrCdSe
1.0
-1.289 -1.618 4.251
0.281 -4.622 0.955
3.274 -1.597 3.014
Cd Se Zr
1 1 1
direct
0.000 0.000 0.000 Cd
0.500 0.500 0.500 Se
0.250 0.250 0.250 Zr
```

Properties
E_form (uncorrected): -44.8 meV/atom
space group: F-43m



[3]
DFT (PBE-GGA) results for a geometry-optimized Cd2Si structure.

Cell and atoms, written as POSCAR:
```
Cd2Si
1.0
1.835 -8.077 0.000
1.835 8.077 0.000
0.000 0.000 4.484
Cd Si
4 2
direct
0.000 0.000 0.000 Cd
0.500 0.500 0.500 Cd
0.842 0.158 0.500 Cd
0.158 0.842 0.500 Cd
0.701 0.299 0.000 Si
0.299 0.701 0.000 Si
```

Properties
E_form (uncorrected): 294.8 meV/atom
space group: Cmmm



[4]
DFT (PBE-GGA) results for a geometry-optimized Cd3Si2 structure.

Cell and atoms, written as POSCAR:
```
Cd3Si2
1.0
0.000 6.148 10.583
1.640 0.000 10.583
1.640 6.148 0.000
Cd Si
6 4
direct
0.166 0.557 0.565 Cd
0.712 0.565 0.557 Cd
0.693 0.084 0.538 Cd
0.685 0.538 0.084 Cd
0.131 0.869 0.869 Cd
0.381 0.119 0.119 Cd
0.749 0.179 0.829 Si
0.243 0.829 0.179 Si
0.071 0.501 0.007 Si
0.421 0.007 0.501 Si
```

Properties
E_form (uncorrected): 271.0 meV/atom
space group: Fdd2



[5]
DFT (PBE-GGA) results for a geometry-optimized Cd2Si structure.

Cell and atoms, written as POSCAR:
```
Cd2Si
1.0
4.180 -1.666 3.481
-3.269 4.653 0.155
-3.889 -4.003 1.104
Cd Si
4 2
direct
0.649 0.851 0.500 Cd
0.351 0.149 0.500 Cd
0.851 0.351 0.202 Cd
0.149 0.649 0.798 Cd
0.250 0.250 0.000 Si
0.750 0.750 0.000 Si
```

Properties
E_form (uncorrected): 282.4 meV/atom
space group: I4/mcm



[6]
DFT (PBE-GGA) results for a geometry-optimized CdSi5 structure.

Cell and atoms, written as POSCAR:
```
CdSi5
1.0
2.155 -5.210 0.000
2.155 5.210 0.000
0.000 0.000 4.454
Cd Si
1 5
direct
0.500 0.500 0.000 Cd
0.317 0.683 0.500 Si
0.186 0.814 0.000 Si
0.000 0.000 0.500 Si
0.814 0.186 0.000 Si
0.683 0.317 0.500 Si
```

Properties
E_form (uncorrected): 545.4 meV/atom
space group: Cmmm



[7]
DFT (PBE-GGA) results for a geometry-optimized Cd2Si structure.

Cell and atoms, written as POSCAR:
```
Cd2Si
1.0
5.771 0.000 0.000
-2.886 4.998 0.000
0.000 0.000 9.470
Si Cd
4 8
direct
0.333 0.667 0.018 Si
0.667 0.333 0.518 Si
0.667 0.333 0.982 Si
0.333 0.667 0.482 Si
0.000 0.000 0.000 Cd
0.000 0.000 0.500 Cd
0.830 0.660 0.250 Cd
0.170 0.340 0.750 Cd
0.340 0.170 0.250 Cd
0.830 0.170 0.250 Cd
0.170 0.830 0.750 Cd
0.660 0.830 0.750 Cd
```

Properties
E_form (uncorrected): 537.1 meV/atom
space group: P6_3/mmc



[8]
DFT (PBE-GGA) results for a geometry-optimized Cd2Si structure.

Cell and atoms, written as POSCAR:
```
Cd2Si
1.0
3.737 -4.590 -1.518
5.080 -3.309 0.758
-1.251 -6.417 4.350
Cd Si
4 2
direct
0.520 0.520 0.774 Cd
0.167 0.167 0.403 Cd
0.833 0.833 0.597 Cd
0.480 0.480 0.226 Cd
0.814 0.814 0.061 Si
0.186 0.186 0.939 Si
```

Properties
E_form (uncorrected): 251.7 meV/atom
space group: C2/m